A plane-wave DFT calculation with PBE-GGA was carried out for a geometry-optimized LiAc2Cd12Ag3 structure.

calculated density: 7.5 g/cm3
spin magnetization: 0.00 μB/cell
energy: -0.062 hartree per atom

Lattice parameters (Å, degrees): 13.055 13.055 13.055 29.24 29.24 29.24
Atoms (fractional coordinates):
Cd 0.402 0.855 0.402
Cd 0.145 0.598 0.598
Ac 0.640 0.640 0.640
Ag 0.000 0.500 0.000
Cd 0.855 0.402 0.402
Cd 0.598 0.145 0.598
Cd 0.108 0.108 0.617
Cd 0.598 0.598 0.145
Cd 0.892 0.892 0.383
Cd 0.892 0.383 0.892
Cd 0.108 0.617 0.108
Ac 0.360 0.360 0.360
Cd 0.617 0.108 0.108
Li 0.000 0.000 0.000
Ag 0.000 0.000 0.500
Ag 0.500 0.000 0.000
Cd 0.402 0.402 0.855
Cd 0.383 0.892 0.892